Record 1
RbHoPuO6 after structural relaxation, computed with PBE-GGA.

Structure (POSCAR):
```
RbHoPuO6
1.0
5.837 0.000 0.000
2.919 5.055 0.000
0.000 0.000 6.043
O Pu Ho Rb
6 1 1 1
direct
0.371 0.034 0.682
0.371 0.595 0.318
0.034 0.595 0.682
0.034 0.371 0.318
0.595 0.371 0.682
0.595 0.034 0.318
0.333 0.333 0.500
0.667 0.667 0.500
0.000 0.000 0.000
```

Formation energy without anion corrections: -2440.1 meV/atom
Space group: No. 149
Energy: -7.95 eV/atom



Record 2
Rb2HoPuO4 after structural relaxation, computed with PBE-GGA.

Structure (POSCAR):
```
Rb2HoPuO4
1.0
-3.208 -0.694 -1.356
2.639 -2.258 -5.090
-0.738 -5.214 4.414
Rb O Pu Ho
2 4 1 1
direct
0.500 0.000 0.500
0.000 0.500 0.500
0.500 0.770 0.825
0.500 0.230 0.175
0.000 0.282 0.824
0.000 0.718 0.176
0.000 0.000 0.000
0.500 0.500 0.000
```

Formation energy without anion corrections: -2499.0 meV/atom
Space group: No. 10
Energy: -7.58 eV/atom



Record 3
Ho2PuRhO8 after structural relaxation, computed with PBE-GGA.

Structure (POSCAR):
```
Ho2PuRhO8
1.0
5.009 -0.089 -0.003
-0.075 5.005 -0.006
0.004 0.007 6.641
O Rh Ho Pu
8 1 2 1
direct
0.179 0.820 0.252
0.285 0.283 0.500
0.295 0.293 0.000
0.179 0.820 0.748
0.705 0.707 0.000
0.821 0.180 0.252
0.821 0.180 0.748
0.715 0.717 0.500
0.000 0.000 0.500
0.500 0.500 0.741
0.500 0.500 0.259
0.000 0.000 0.000
```

Formation energy without anion corrections: -2437.5 meV/atom
Space group: No. 10
Energy: -8.31 eV/atom



Record 4
HoPuS2O after structural relaxation, computed with PBE-GGA.

Structure (POSCAR):
```
HoPuS2O
1.0
3.846 0.000 0.000
0.000 3.846 0.000
0.000 0.000 13.702
O Pu S Ho
2 2 4 2
direct
0.500 0.500 0.500
0.000 0.000 0.500
0.500 0.000 0.592
0.000 0.500 0.408
0.000 0.500 0.093
0.500 0.000 0.307
0.500 0.000 0.907
0.000 0.500 0.693
0.000 0.500 0.881
0.500 0.000 0.119
```

Formation energy without anion corrections: -2324.8 meV/atom
Space group: No. 129
Energy: -8.75 eV/atom



Record 5
HoPuSbO2 after structural relaxation, computed with PBE-GGA.

Structure (POSCAR):
```
HoPuSbO2
1.0
-1.487 -0.482 -3.542
-2.312 -2.796 1.351
-2.652 6.036 2.408
Sb Pu O Ho
1 1 2 1
direct
0.501 0.501 0.002
0.157 0.157 0.314
0.752 0.252 0.503
0.252 0.752 0.503
0.839 0.839 0.677
```

Formation energy without anion corrections: -2478.6 meV/atom
Space group: No. 107
Energy: -9.07 eV/atom



Record 6
HoPuScO6 after structural relaxation, computed with PBE-GGA.

Structure (POSCAR):
```
HoPuScO6
1.0
-2.451 3.916 2.989
-0.341 -5.266 1.556
7.955 1.018 5.189
Pu Ho Sc O
2 2 2 12
direct
0.333 0.667 0.750
0.667 0.333 0.250
0.000 0.000 0.000
0.000 0.000 0.500
0.333 0.667 0.250
0.667 0.333 0.750
0.656 0.007 0.364
0.007 0.656 0.864
0.649 0.656 0.636
0.656 0.649 0.136
0.993 0.649 0.364
0.351 0.344 0.364
0.351 0.007 0.136
0.007 0.351 0.636
0.993 0.344 0.136
0.344 0.993 0.636
0.344 0.351 0.864
0.649 0.993 0.864
```

Formation energy without anion corrections: -3072.7 meV/atom
Space group: No. 163
Energy: -9.18 eV/atom



Record 7
HoPuSc2O8 after structural relaxation, computed with PBE-GGA.

Structure (POSCAR):
```
HoPuSc2O8
1.0
-3.454 -3.221 1.337
1.822 -0.062 4.556
-4.086 5.088 1.704
Sc O Pu Ho
2 8 1 1
direct
0.500 0.500 0.732
0.500 0.500 0.268
0.806 0.195 0.227
0.683 0.684 0.500
0.806 0.195 0.773
0.713 0.714 0.000
0.194 0.805 0.773
0.317 0.316 0.500
0.287 0.286 0.000
0.194 0.805 0.227
0.000 0.000 0.000
0.000 0.000 0.500
```

Formation energy without anion corrections: -3048.9 meV/atom
Space group: No. 65
Energy: -8.99 eV/atom



Record 8
Sm2HoPuO8 after structural relaxation, computed with PBE-GGA.

Structure (POSCAR):
```
Sm2HoPuO8
1.0
-2.704 -1.799 2.255
3.702 0.682 4.006
-3.206 6.616 1.532
O Sm Pu Ho
8 2 1 1
direct
0.952 0.218 0.216
0.038 0.755 0.233
0.048 0.782 0.784
0.567 0.781 0.004
0.490 0.247 0.489
0.962 0.245 0.767
0.433 0.219 0.996
0.510 0.753 0.511
0.500 0.487 0.740
0.500 0.513 0.260
0.000 0.000 0.000
0.000 0.000 0.500
```

Formation energy without anion corrections: -3027.6 meV/atom
Space group: No. 2
Energy: -8.70 eV/atom



Record 9
HoPuSnO6 after structural relaxation, computed with PBE-GGA.

Structure (POSCAR):
```
HoPuSnO6
1.0
5.515 0.000 0.000
-2.758 4.776 0.000
0.000 0.000 9.729
O Ho Pu Sn
12 2 2 2
direct
0.348 0.006 0.634
0.348 0.342 0.866
0.006 0.658 0.366
0.652 0.994 0.366
0.994 0.652 0.866
0.652 0.658 0.134
0.006 0.348 0.134
0.994 0.342 0.634
0.658 0.652 0.634
0.342 0.348 0.366
0.658 0.006 0.866
0.342 0.994 0.134
0.000 0.000 0.000
0.000 0.000 0.500
0.333 0.667 0.750
0.667 0.333 0.250
0.333 0.667 0.250
0.667 0.333 0.750
```

Formation energy without anion corrections: -2541.1 meV/atom
Space group: No. 163
Energy: -8.39 eV/atom



Record 10
SrHo2PuO8 after structural relaxation, computed with PBE-GGA.

Structure (POSCAR):
```
SrHo2PuO8
1.0
4.096 -0.241 -0.002
-0.236 5.305 -0.006
0.004 0.008 7.554
O Ho Pu Sr
8 2 1 1
direct
0.954 0.243 0.794
0.046 0.757 0.206
0.046 0.757 0.794
0.564 0.772 0.000
0.490 0.718 0.500
0.436 0.228 0.000
0.954 0.243 0.206
0.510 0.282 0.500
0.500 0.500 0.245
0.500 0.500 0.755
0.000 0.000 0.000
0.000 0.000 0.500
```

Formation energy without anion corrections: -2771.2 meV/atom
Space group: No. 10
Energy: -8.17 eV/atom



Record 11
Sr2HoPuO6 after structural relaxation, computed with PBE-GGA.

Structure (POSCAR):
```
Sr2HoPuO6
1.0
5.959 0.000 -0.021
0.000 6.081 0.000
0.022 0.000 8.493
O Ho Sr Pu
12 2 4 2
direct
0.199 0.213 0.053
0.595 0.035 0.257
0.788 0.801 0.549
0.405 0.965 0.743
0.712 0.301 0.951
0.801 0.787 0.947
0.905 0.535 0.243
0.212 0.199 0.451
0.301 0.713 0.447
0.288 0.699 0.049
0.699 0.287 0.553
0.095 0.465 0.757
0.500 0.000 0.000
0.000 0.500 0.500
0.489 0.457 0.249
0.011 0.957 0.251
0.989 0.043 0.749
0.511 0.543 0.751
0.500 0.000 0.500
0.000 0.500 0.000
```

Formation energy without anion corrections: -3099.9 meV/atom
Space group: No. 14
Energy: -8.30 eV/atom



Record 12
TbHoPuO6 after structural relaxation, computed with PBE-GGA.

Structure (POSCAR):
```
TbHoPuO6
1.0
5.714 0.000 0.000
-2.857 4.948 0.000
0.000 0.000 9.468
Tb Pu O Ho
2 2 12 2
direct
0.000 0.000 0.000
0.000 0.000 0.500
0.333 0.667 0.750
0.667 0.333 0.250
0.333 0.357 0.866
0.333 0.976 0.634
0.024 0.357 0.634
0.643 0.667 0.634
0.976 0.643 0.366
0.667 0.643 0.134
0.357 0.333 0.366
0.643 0.976 0.866
0.024 0.667 0.866
0.976 0.333 0.134
0.667 0.024 0.366
0.357 0.024 0.134
0.333 0.667 0.250
0.667 0.333 0.750
```

Formation energy without anion corrections: -3066.9 meV/atom
Space group: No. 163
Energy: -8.99 eV/atom



Record 13
Tb2HoPuO8 after structural relaxation, computed with PBE-GGA.

Structure (POSCAR):
```
Tb2HoPuO8
1.0
5.103 -0.061 -0.003
-0.037 5.105 -0.006
0.004 0.008 6.974
Tb O Ho Pu
2 8 1 1
direct
0.500 0.500 0.741
0.500 0.500 0.259
0.818 0.183 0.223
0.693 0.694 0.500
0.307 0.306 0.500
0.818 0.183 0.777
0.279 0.278 0.000
0.721 0.722 0.000
0.182 0.817 0.223
0.182 0.817 0.777
0.000 0.000 0.500
0.000 0.000 0.000
```

Formation energy without anion corrections: -3086.8 meV/atom
Space group: No. 65
Energy: -8.74 eV/atom



Record 14
HoPuTeO2 after structural relaxation, computed with PBE-GGA.

Structure (POSCAR):
```
HoPuTeO2
1.0
3.928 0.000 0.000
0.000 3.928 0.000
-1.964 -1.964 6.321
Pu Te O Ho
1 1 2 1
direct
0.846 0.846 0.692
0.499 0.499 0.998
0.746 0.246 0.493
0.246 0.746 0.493
0.163 0.163 0.325
```

Formation energy without anion corrections: -2684.9 meV/atom
Space group: No. 107
Energy: -9.08 eV/atom



Record 15
HoPuTl2O6 after structural relaxation, computed with PBE-GGA.

Structure (POSCAR):
```
HoPuTl2O6
1.0
6.106 0.000 0.000
3.053 5.288 0.000
3.053 1.763 4.985
O Tl Ho Pu
6 2 1 1
direct
0.550 0.553 0.816
0.553 0.081 0.816
0.079 0.552 0.287
0.552 0.082 0.287
0.081 0.550 0.816
0.082 0.079 0.287
0.066 0.066 0.802
0.566 0.566 0.302
0.816 0.816 0.552
0.316 0.316 0.052
```

Formation energy without anion corrections: -2162.3 meV/atom
Space group: No. 148
Energy: -7.50 eV/atom



Record 16
HoPuTl2O8 after structural relaxation, computed with PBE-GGA.

Structure (POSCAR):
```
HoPuTl2O8
1.0
-1.211 -4.917 1.304
1.259 -1.341 -4.890
6.416 -1.065 1.944
O Pu Tl Ho
8 1 2 1
direct
0.171 0.828 0.781
0.303 0.303 0.500
0.697 0.697 0.500
0.296 0.296 0.000
0.829 0.172 0.219
0.829 0.172 0.781
0.171 0.828 0.219
0.704 0.704 0.000
0.000 0.000 0.000
0.500 0.500 0.747
0.500 0.500 0.253
0.000 0.000 0.500
```

Formation energy without anion corrections: -1842.5 meV/atom
Space group: No. 65
Energy: -7.12 eV/atom



Record 17
HoPuTlO6 after structural relaxation, computed with PBE-GGA.

Structure (POSCAR):
```
HoPuTlO6
1.0
-4.238 0.998 -3.538
0.603 -5.085 2.291
-5.638 2.719 7.521
O Ho Tl Pu
12 2 2 2
direct
0.354 0.324 0.369
0.676 0.646 0.131
0.646 0.676 0.631
0.324 0.970 0.631
0.030 0.354 0.631
0.970 0.646 0.369
0.676 0.030 0.369
0.030 0.676 0.869
0.324 0.354 0.869
0.970 0.324 0.131
0.354 0.030 0.131
0.646 0.970 0.869
0.000 0.000 0.000
0.000 0.000 0.500
0.333 0.667 0.250
0.667 0.333 0.750
0.333 0.667 0.750
0.667 0.333 0.250
```

Formation energy without anion corrections: -2214.5 meV/atom
Space group: No. 163
Energy: -7.88 eV/atom



Record 18
HoPu3Tl2O12 after structural relaxation, computed with PBE-GGA.

Structure (POSCAR):
```
HoPu3Tl2O12
1.0
-6.861 -0.920 -3.640
-1.262 -6.671 -3.882
-5.117 -5.106 2.986
O Pu Ho Tl
12 3 1 2
direct
0.308 0.308 0.950
0.067 0.067 0.665
0.050 0.692 0.692
0.933 0.335 0.933
0.933 0.933 0.335
0.665 0.067 0.067
0.692 0.050 0.692
0.692 0.692 0.050
0.335 0.933 0.933
0.950 0.308 0.308
0.067 0.665 0.067
0.308 0.950 0.308
0.000 0.500 0.000
0.500 0.000 0.000
0.000 0.000 0.500
0.000 0.000 0.000
0.678 0.678 0.678
0.322 0.322 0.322
```

Formation energy without anion corrections: -2329.0 meV/atom
Space group: No. 166
Energy: -8.54 eV/atom



Record 19
HoPu3Tl4O12 after structural relaxation, computed with PBE-GGA.

Structure (POSCAR):
```
HoPu3Tl4O12
1.0
7.474 0.000 0.000
-2.491 7.047 0.000
-2.491 -3.523 6.103
O Tl Pu Ho
12 4 3 1
direct
0.500 0.750 0.250
0.750 0.500 0.250
0.750 0.250 0.500
0.734 0.000 0.734
0.266 0.000 0.266
0.250 0.500 0.750
0.500 0.250 0.750
0.000 0.266 0.266
0.734 0.734 0.000
0.250 0.750 0.500
0.000 0.734 0.734
0.266 0.266 0.000
0.000 0.500 0.000
0.500 0.500 0.500
0.000 0.000 0.500
0.500 0.000 0.000
0.500 0.000 0.500
0.500 0.500 0.000
0.000 0.500 0.500
0.000 0.000 0.000
```

Formation energy without anion corrections: -2181.8 meV/atom
Space group: No. 229
Energy: -8.01 eV/atom